## La3Pr4Tm3 (GGA-PBE)

Data for a geometry-optimized La3Pr4Tm3 structure.

## Properties
N(E_F) (states/eV per atom): 1.269
Magnetization (μB/f.u.): 0.000
ΔH_f (0 K) (meV/atom): 85

Geometry as CIF:
```
data_La3Pr4Tm3
_space_group_name_H-M_alt 'A m m 2'
_space_group_IT_number 38
_space_group_name_Hall 'A 2 -2'
_cell_length_a 3.8559
_cell_length_b 13.5832
_cell_length_c 13.4924
_cell_angle_alpha 90.00
_cell_angle_beta 90.00
_cell_angle_gamma 90.00
loop_
_atom_site_label
_atom_site_fract_x
_atom_site_fract_y
_atom_site_fract_z
La1 0.0000 0.0000 0.0000
La2 0.5000 0.2441 0.4173
Pr1 0.5000 0.0000 0.5407
Pr2 0.5000 0.0000 0.7946
Pr3 0.5000 0.1305 0.1728
Tm1 0.0000 0.0000 0.3391
Tm2 0.0000 0.1685 0.6674
```